Sr2CrSbO6 | PBE+U | optimized geometry

Cell lengths 5.6380, 5.6434, 5.6460 Å; angles 60.53, 59.99, 60.02 degrees
Last column: nearest neighbours and their distance in Å.
Element x y z (fractional)
Sb  0.5000  0.5000  0.5000  6 O 2.00-2.01
Cr  0.0000  0.0000  0.0000  6 O 2.03
O  0.2830  0.7140  0.2207  1 Sb 2.01, 1 Cr 2.03
O  0.2530  0.8096  0.6865  1 Sb 2.00, 1 Cr 2.03
O  0.2185  0.2851  0.7824  1 Sb 2.01, 1 Cr 2.03
O  0.7815  0.7149  0.2176  1 Sb 2.01, 1 Cr 2.03
O  0.7470  0.1903  0.3135  1 Sb 2.00, 1 Cr 2.03
O  0.7170  0.2860  0.7793  1 Sb 2.01, 1 Cr 2.03
Sr  0.7495  0.7459  0.7549  5 O 2.52-2.64
Sr  0.2505  0.2541  0.2451  5 O 2.52-2.64

## Properties
**V**: 127.5 Å³ per cell
**VASP energy**: -6.74 eV/atom